In2AsP: single point on PBEsol structure, SCAN.

It has space group I-42d (No. 122), with a = 5.974 Å, b = 5.974 Å, c = 11.935 Å, α = 90.00°, β = 90.00° and γ = 90.00°. Symmetry generates all atoms from In at (0.239, 0.250, 0.125), As at (0.000, 0.000, 0.500) and P at (0.000, 0.000, 0.000).

Its crystal system is tetragonal.


In2AsPb: single point on PBEsol structure, SCAN.

It has space group P4mm (No. 99), with a = 3.872 Å, b = 3.872 Å, c = 6.744 Å, α = 90.00°, β = 90.00° and γ = 90.00°. Symmetry generates all atoms from In at (0.000, 0.000, 0.000), In at (0.500, 0.500, 0.273), As at (0.500, 0.500, 0.857) and Pb at (0.000, 0.000, 0.519).

Its crystal system is tetragonal. Its density of states at the Fermi level is 1.9 states/eV/f.u.


InAsPb2: single point on PBEsol structure, SCAN.

It has space group P2/m (No. 10), with a = 3.781 Å, b = 3.770 Å, c = 7.334 Å, α = 90.00°, β = 90.16° and γ = 90.00°. Symmetry generates all atoms from In at (0.000, 0.000, 0.000), As at (0.000, 0.000, 0.500) and Pb at (0.500, 0.500, 0.280).

Its crystal system is monoclinic. Its density of states at the Fermi level is 2.0 states/eV/f.u.


In2AsPb: single point on PBEsol structure, SCAN.

It has space group R-3m (No. 166, hexagonal axes), with a = 3.9621 Å, b = 3.9621 Å, c = 23.0309 Å, α = 90.00°, β = 90.00° and γ = 120.00°. Symmetry generates all atoms from In at (0.0000, 0.0000, 0.2358), As at (0.0000, 0.0000, 0.5000) and Pb at (0.0000, 0.0000, 0.0000).

Its crystal system is trigonal. Its density of states at the Fermi level is 1.6 states/eV/f.u.


In the order shown, the computed V values come out to 426; 101; 105; 313 Å³ per cell.
In the order shown, the computed E_tot values come out to -24.642; -40.614; -51.153; -40.727 eV per atom.